# TaIrSe2 (PBE, relaxed)
# formation energy from raw total energies	0.14	eV per atom
# excess energy over the best structure of this formula in the dataset	2.13	eV/f.u.
# symmetry	P4/mmm
# volume	66.4	Å³/cell
data_TaIrSe2
_chemical_formula_sum 'Ta1 Ir1 Se2'
_cell_length_a 3.237
_cell_length_b 3.237
_cell_length_c 6.334
_cell_angle_alpha 90.00
_cell_angle_beta 90.00
_cell_angle_gamma 90.00
_symmetry_space_group_name_H-M 'P 1'
_symmetry_Int_Tables_number 1
loop_
_symmetry_equiv_pos_as_xyz
'x,y,z'
loop_
_atom_site_label
_atom_site_fract_x
_atom_site_fract_y
_atom_site_fract_z
Ir1 0.500 0.500 0.750
Se1 0.000 0.000 0.010
Se2 0.000 0.000 0.490
Ta1 0.500 0.500 0.250

=====

# TaIrSe3 (PBE, relaxed)
# formation energy from raw total energies	0.97	eV per atom
# excess energy over the best structure of this formula in the dataset	6.98	eV/f.u.
# symmetry	Pm-3m
# volume	110.9	Å³/cell
data_TaIrSe3
_chemical_formula_sum 'Ta1 Ir1 Se3'
_cell_length_a 4.805
_cell_length_b 4.805
_cell_length_c 4.805
_cell_angle_alpha 90.00
_cell_angle_beta 90.00
_cell_angle_gamma 90.00
_symmetry_space_group_name_H-M 'P 1'
_symmetry_Int_Tables_number 1
loop_
_symmetry_equiv_pos_as_xyz
'x,y,z'
loop_
_atom_site_label
_atom_site_fract_x
_atom_site_fract_y
_atom_site_fract_z
Ir1 0.000 0.000 0.000
Se1 0.000 0.500 0.000
Se2 0.000 0.000 0.500
Se3 0.500 0.000 0.000
Ta1 0.500 0.500 0.500

=====

# Ta2IrSe (PBE, relaxed)
# formation energy from raw total energies	-0.11	eV per atom
# symmetry	Pmmm
# volume	67.3	Å³/cell
data_Ta2IrSe
_chemical_formula_sum 'Ta2 Ir1 Se1'
_cell_length_a 2.995
_cell_length_b 3.982
_cell_length_c 5.642
_cell_angle_alpha 90.00
_cell_angle_beta 90.00
_cell_angle_gamma 90.00
_symmetry_space_group_name_H-M 'P 1'
_symmetry_Int_Tables_number 1
loop_
_symmetry_equiv_pos_as_xyz
'x,y,z'
loop_
_atom_site_label
_atom_site_fract_x
_atom_site_fract_y
_atom_site_fract_z
Ir1 0.500 0.500 0.250
Se1 0.500 0.500 0.750
Ta1 0.000 0.000 0.005
Ta2 0.000 0.000 0.495